Material: CsRb2I
Method: DFT, PBE
State: optimized geometry

DOS at the Fermi energy   3.0 states/eV/f.u.
Spin magnetization   0.0 μB/f.u.
Relative energy among the computed polymorphs   0.00 eV per formula unit
Uncorrected formation energy   -0.6919 eV/atom

a b c (Å): 5.246 5.246 13.708
angles (deg): 78.97 78.97 60.00
Fractional positions:
I  0.666  0.666  0.001
Rb  0.278  0.278  0.166
Rb  0.055  0.055  0.834
Cs  0.500  0.500  0.499